Material: YInTe2
Method: DFT, GGA-PBE
State: relaxed Values from VASP.

Output
Formation energy from raw total energies, eV per atom: -0.432
Raw total energy, eV/atom: -4.303

Cell and atoms, written as Quantum ESPRESSO input:
```
&SYSTEM
  ibrav = 0, nat = 8, ntyp = 3
/
ATOMIC_SPECIES
Te 127.60 Te.upf
In 114.82 In.upf
Y 88.91 Y.upf
CELL_PARAMETERS angstrom
2.0725 -11.3485 0.0000
2.0725 11.3485 0.0000
0.0000 0.0000 5.8898
ATOMIC_POSITIONS crystal
Te 0.1408 0.8592 0.2500
Te 0.8135 0.1865 0.2500
Te 0.8592 0.1408 0.7500
Te 0.1865 0.8135 0.7500
In 0.9833 0.0167 0.7500
In 0.0167 0.9833 0.2500
Y 0.4064 0.5936 0.2500
Y 0.5936 0.4064 0.7500
```